ZrZnPt2: single point on PBEsol structure, meta-GGA SCAN.

Values from the calculation:
For the energy of formation, the calculation gives -0.94 eV/atom. Its symmetry is I-4m2, No. 119.

Structure (POSCAR):
```
ZrZnPt2
1.0
3.918 0.000 0.000
0.000 3.918 0.000
-1.959 -1.959 4.145
Zn Zr Pt
1 1 2
direct
0.000 0.000 0.000
0.250 0.750 0.500
0.500 0.500 0.000
0.750 0.250 0.500
```